DFT (PBE-GGA) results for a geometry-optimized CaAcGaHg structure.

Energy   -2.87 eV/atom
ΔE_f   -0.511 eV per atom

Cell: 5.499 5.499 5.499 Å, 60.00 60.00 60.00°
Positions (direct):
Ca  0.000  0.000  0.000
Ac  0.500  0.500  0.500
Ga  0.250  0.250  0.250
Hg  0.750  0.750  0.750